[1]
SrNiH3 after structural relaxation. Source: the Alexandria database, functional PBE.

## Properties
Mass density ... 4.591 g/cm3
Fermi-level density of states ... 0.169 states/eV/atom

a b c (Å): 9.5255 9.5255 9.5255
angles (deg): 90.00 90.00 90.00
Last column: nearest neighbours and their distance in Å.
Space group Fd-3m (No. 227, origin choice 2)
Symmetry-distinct sites (fractional):
Sr: 0.0000 0.0000 0.0000 [16 per cell]  6 H 2.53
Ni: 0.0000 0.0000 0.5000 [16 per cell]  6 H 1.75
H: 0.0519 0.3750 0.8750 [48 per cell]  2 Ni 1.75

[2]
ScCu2Ir after structural relaxation. Source: the Alexandria database, functional PBE.

## Properties
DFT formation energy ... -0.6 eV per formula unit
Mass density ... 10.030 g/cm3
Polymorph energy (0 for the lowest one) ... 262.3 meV/atom
Fermi-level density of states ... 0.545 states/eV/atom

a b c (Å): 5.1366 9.1321 2.9287
angles (deg): 90.00 118.60 90.00
Last column: nearest neighbours and their distance in Å.
Space group C2/m (No. 12)
Symmetry-distinct sites (fractional):
Sc: 0.0000 0.0000 0.0000 [2 per cell]  4 Ir 2.57-2.82, 4 Cu 2.68
Cu: 0.2500 0.2500 0.5000 [4 per cell]  4 Cu 2.57-2.82, 2 Sc 2.68, 2 Ir 2.68
Ir: 0.0000 0.5000 0.0000 [2 per cell]  4 Sc 2.57-2.82, 4 Cu 2.68

[3]
TmMgTlHg after structural relaxation. Source: the Alexandria database, functional PBE.

## Properties
DFT formation energy ... -1.3 eV per formula unit
Mass density ... 10.385 g/cm3
Fermi-level density of states ... 0.124 states/eV/atom

a b c (Å): 7.2596 7.2596 7.2596
angles (deg): 90.00 90.00 90.00
Last column: nearest neighbours and their distance in Å.
Space group F-43m (No. 216)
Symmetry-distinct sites (fractional):
Tm: 0.0000 0.0000 0.0000 [4 per cell]  4 Hg 3.14, 4 Tl 3.14
Mg: 0.0000 0.0000 0.5000 [4 per cell]  4 Tl 3.14, 4 Hg 3.14
Tl: 0.2500 0.2500 0.7500 [4 per cell]  4 Mg 3.14, 4 Tm 3.14
Hg: 0.2500 0.2500 0.2500 [4 per cell]  4 Mg 3.14, 4 Tm 3.14

[4]
Cu2POs after structural relaxation. Source: the Alexandria database, functional PBE.

## Properties
DFT formation energy ... 1.1 eV per formula unit
Mass density ... 11.112 g/cm3
Fermi-level density of states ... 0.573 states/eV/atom

a b c (Å): 2.7828 4.1948 4.6522
angles (deg): 90.00 106.59 90.00
Last column: nearest neighbours and their distance in Å.
Space group P2/m (No. 10)
Symmetry-distinct sites (fractional):
Cu: 0.1486 0.0000 0.2649 [2 per cell]  3 Cu 2.37-2.55, 2 P 2.44
P: 0.5000 0.5000 0.5000 [1 per cell]  2 Os 2.33, 4 Cu 2.44
Os: 0.5000 0.5000 0.0000 [1 per cell]  2 P 2.33

[5]
Mg3GaO after structural relaxation. Source: the Alexandria database, functional PBE.

## Properties
Mass density ... 3.343 g/cm3
Polymorph energy (0 for the lowest one) ... 0.0 meV/atom
Raw formation energy ... -0.9795 eV per atom
Fermi-level density of states ... 0.321 states/eV/atom

a b c (Å): 4.2873 4.2873 4.2873
angles (deg): 90.00 90.00 90.00
Last column: nearest neighbours and their distance in Å.
Space group Pm-3m (No. 221)
Symmetry-distinct sites (fractional):
Mg: 0.0000 0.0000 0.5000 [3 per cell]  2 O 2.14
Ga: 0.5000 0.5000 0.5000 [1 per cell]  12 Mg 3.03
O: 0.0000 0.0000 0.0000 [1 per cell]  6 Mg 2.14

[6]
Tb6Al2Pd after structural relaxation. Source: the Alexandria database, functional PBE.

## Properties
DFT formation energy ... -1.6 eV per formula unit
Mass density ... 6.945 g/cm3
Fermi-level density of states ... 1.135 states/eV/atom

a b c (Å): 4.9750 7.1650 14.9447
angles (deg): 90.00 90.00 90.00
Last column: nearest neighbours and their distance in Å.
Space group Immm (No. 71)
Symmetry-distinct sites (fractional):
Tb: 0.0000 0.2414 0.0000 [4 per cell]  2 Pd 3.03, 2 Al 3.11
Tb: 0.0000 0.2556 0.3379 [8 per cell]  1 Pd 2.99, 3 Al 3.09-3.10
Al: 0.0000 0.5000 0.1669 [4 per cell]  8 Tb 3.09-3.11
Pd: 0.0000 0.5000 0.5000 [2 per cell]  8 Tb 2.99-3.03

[7]
Ca2Y2Cd3 after structural relaxation. Source: the Alexandria database, functional PBE.

## Properties
DFT formation energy ... -1.6 eV per formula unit
Mass density ... 4.688 g/cm3
Fermi-level density of states ... 0.891 states/eV/atom

a b c (Å): 5.2724 5.2724 26.2775
angles (deg): 90.00 90.00 120.00
Last column: nearest neighbours and their distance in Å.
Space group R-3m (No. 166, hexagonal axes)
Symmetry-distinct sites (fractional):
Ca: 0.0000 0.0000 0.1277 [6 per cell]  5 Cd 3.31-3.36, 3 Ca 3.67
Y: 0.0000 0.0000 0.3771 [6 per cell]  7 Cd 3.17-3.25
Cd: 0.0000 0.0000 0.0000 [3 per cell]  6 Y 3.25, 2 Ca 3.35
Cd: 0.0000 0.0000 0.2555 [6 per cell]  4 Y 3.17-3.19, 4 Ca 3.31-3.36

[8]
B5C7 after structural relaxation. Source: the Alexandria database, functional PBE.

## Properties
DFT formation energy ... 4.4 eV per formula unit
Mass density ... 2.932 g/cm3
Polymorph energy (0 for the lowest one) ... 106.0 meV/atom
Fermi-level density of states ... 0.224 states/eV/atom

a b c (Å): 2.4978 2.4978 12.5372
angles (deg): 90.00 90.00 90.00
Last column: nearest neighbours and their distance in Å.
Space group P-4m2 (No. 115)
Symmetry-distinct sites (fractional):
B: 0.0000 0.0000 0.0000 [1 per cell]  4 B 1.83
B: 0.0000 0.5000 0.5815 [2 per cell]  4 C 1.61-1.68
B: 0.0000 0.5000 0.8938 [2 per cell]  2 C 1.61
C: 0.0000 0.0000 0.3290 [2 per cell]  2 C 1.53, 2 B 1.68
C: 0.0000 0.5000 0.2591 [2 per cell]  4 C 1.53-1.54
C: 0.5000 0.5000 0.1876 [2 per cell]  2 C 1.54, 2 B 1.61
C: 0.5000 0.5000 0.5000 [1 per cell]  4 B 1.61

[9]
Nd3Bi5Pd12 after structural relaxation. Source: the Alexandria database, functional PBE.

## Properties
DFT formation energy ... -3.9 eV per formula unit
Mass density ... 8.764 g/cm3
Fermi-level density of states ... 0.670 states/eV/atom

a b c (Å): 16.1027 16.1027 16.1027
angles (deg): 90.00 90.00 90.00
Last column: nearest neighbours and their distance in Å.
Space group Ia-3d (No. 230)
Symmetry-distinct sites (fractional):
Nd: 0.0000 0.2500 0.1250 [24 per cell]  8 Pd 2.87-2.89
Bi: 0.0000 0.0000 0.0000 [16 per cell]  6 Pd 2.70
Bi: 0.0000 0.2500 0.3750 [24 per cell]  4 Pd 2.78
Pd: 0.0050 0.0738 0.6507 [96 per cell]  2 Bi 2.70-2.78, 2 Nd 2.87-2.89, 1 Pd 2.89

[10]
ZrAg3F after structural relaxation. Source: the Alexandria database, functional PBE.

## Properties
Mass density ... 7.295 g/cm3
Polymorph energy (0 for the lowest one) ... 0.0 meV/atom
Raw formation energy ... 0.2321 eV per atom
Fermi-level density of states ... 1.589 states/eV/atom

a b c (Å): 4.6222 4.6222 4.6222
angles (deg): 90.00 90.00 90.00
Last column: nearest neighbours and their distance in Å.
Space group Pm-3m (No. 221)
Symmetry-distinct sites (fractional):
Zr: 0.0000 0.0000 0.0000 [1 per cell]  12 Ag 3.27
Ag: 0.0000 0.5000 0.5000 [3 per cell]  2 F 2.31
F: 0.5000 0.5000 0.5000 [1 per cell]  6 Ag 2.31

[11]
ZnSb after structural relaxation. Source: the Alexandria database, functional PBE.

## Properties
Mass density ... 4.629 g/cm3
Raw formation energy ... 0.1731 eV per atom
Fermi-level density of states ... 0.141 states/eV/atom

a b c (Å): 8.3619 9.4540 13.5894
angles (deg): 90.00 90.00 90.00
Last column: nearest neighbours and their distance in Å.
Space group Fddd (No. 70, origin choice 2)
Symmetry-distinct sites (fractional):
Zn: 0.1250 0.1250 0.2952 [16 per cell]  4 Sb 2.67-2.75
Sb: 0.0538 0.3750 0.3750 [16 per cell]  4 Zn 2.67-2.75

[12]
LiNpPa4N8 after structural relaxation. Source: the Alexandria database, functional PBE.

## Properties
Mass density ... 9.615 g/cm3
Raw formation energy ... -1.3491 eV per atom
Fermi-level density of states ... 0.468 states/eV/atom

a b c (Å): 7.1252 7.1252 15.0859
angles (deg): 90.00 90.00 120.00
Last column: nearest neighbours and their distance in Å.
Space group R3m (No. 160, hexagonal axes)
Symmetry-distinct sites (fractional):
Li: 0.0000 0.0000 0.0000 [3 per cell]  3 N 2.27
Np: 0.0000 0.0000 0.6101 [3 per cell]  4 N 2.20-2.26
Pa: 0.0000 0.0000 0.3939 [3 per cell]  4 N 2.24-2.28
Pa: 0.1671 0.3341 0.8290 [9 per cell]  6 N 2.24-2.38
N: 0.0000 0.0000 0.2427 [3 per cell]  4 Pa 2.28-2.38
N: 0.0000 0.0000 0.7560 [3 per cell]  1 Np 2.20, 3 Pa 2.34
N: 0.0262 0.5131 0.7500 [9 per cell]  3 Pa 2.24-2.31, 1 Li 2.27
N: 0.1723 0.3445 0.5591 [9 per cell]  2 Pa 2.24, 1 Np 2.26

[13]
TbPr4Sm3 after structural relaxation. Source: the Alexandria database, functional PBE.

## Properties
DFT formation energy ... 0.1 eV per formula unit
Mass density ... 7.012 g/cm3
Polymorph energy (0 for the lowest one) ... 0.0 meV/atom
Fermi-level density of states ... 1.606 states/eV/atom

a b c (Å): 10.3803 7.3175 7.3177
angles (deg): 90.00 90.00 90.00
Last column: nearest neighbours and their distance in Å.
Space group Pmna (No. 53)
Symmetry-distinct sites (fractional):
Tb: 0.0000 0.0000 0.0000 [2 per cell]  8 Pr 3.66, 4 Sm 3.66
Pr: 0.0000 0.0000 0.5000 [2 per cell]  6 Sm 3.66, 2 Tb 3.66, 4 Pr 3.66
Pr: 0.0000 0.5000 0.0000 [2 per cell]  2 Tb 3.66, 6 Sm 3.66-3.67, 4 Pr 3.67
Pr: 0.2500 0.2490 0.2500 [4 per cell]  6 Sm 3.65-3.67, 2 Tb 3.66, 4 Pr 3.66-3.67
Sm: 0.0000 0.5000 0.5000 [2 per cell]  8 Pr 3.66-3.67, 4 Sm 3.67
Sm: 0.2500 0.2491 0.7500 [4 per cell]  8 Pr 3.65-3.67, 2 Tb 3.66, 2 Sm 3.67

[14]
AcZn2Cd8 after structural relaxation. Source: the Alexandria database, functional PBE.

## Properties
DFT formation energy ... 1.7 eV per formula unit
Mass density ... 6.244 g/cm3
Fermi-level density of states ... 0.439 states/eV/atom

a b c (Å): 6.1787 6.1787 8.7567
angles (deg): 90.00 90.00 90.00
Last column: nearest neighbours and their distance in Å.
Space group P4/mmm (No. 123)
Symmetry-distinct sites (fractional):
Ac: 0.0000 0.0000 0.0000 [1 per cell]  8 Cd 3.44
Zn: 0.0000 0.5000 0.5000 [2 per cell]  8 Cd 2.80
Cd: 0.2554 0.2554 0.2992 [8 per cell]  2 Zn 2.80, 2 Cd 3.02

[15]
CsNaPS2 after structural relaxation. Source: the Alexandria database, functional PBE.

## Properties
Mass density ... 2.613 g/cm3
Polymorph energy (0 for the lowest one) ... 0.0 meV/atom
Raw formation energy ... 0.3989 eV per atom
Fermi-level density of states ... 1.126 states/eV/atom

a b c (Å): 5.3968 5.3968 5.4759
angles (deg): 90.00 90.00 90.00
Last column: nearest neighbours and their distance in Å.
Space group P4/mmm (No. 123)
Symmetry-distinct sites (fractional):
Cs: 0.0000 0.0000 0.0000 [1 per cell]  4 P 3.82, 8 S 3.84
Na: 0.5000 0.5000 0.5000 [1 per cell]  4 S 2.70, 2 P 2.74
P: 0.5000 0.5000 0.0000 [1 per cell]  2 Na 2.74
S: 0.0000 0.5000 0.5000 [2 per cell]  2 Na 2.70

[16]
Tb3Pm4In after structural relaxation. Source: the Alexandria database, functional PBE.

## Properties
DFT formation energy ... -0.6 eV per formula unit
Mass density ... 7.705 g/cm3
Polymorph energy (0 for the lowest one) ... 18.5 meV/atom
Fermi-level density of states ... 1.481 states/eV/atom

a b c (Å): 10.0746 7.0433 7.1168
angles (deg): 90.00 90.00 90.00
Last column: nearest neighbours and their distance in Å.
Space group Pmn2_1 (No. 31)
Symmetry-distinct sites (fractional):
Tb: 0.0000 0.0001 0.0000 [2 per cell]  8 Pm 3.52-3.56, 4 Tb 3.58
Tb: 0.2501 0.2573 0.2501 [4 per cell]  8 Pm 3.46-3.58, 2 In 3.52-3.53, 2 Tb 3.58
Pm: 0.0000 0.0010 0.5003 [2 per cell]  2 In 3.52-3.53, 6 Tb 3.56-3.58, 4 Pm 3.56
Pm: 0.0000 0.4997 0.9997 [2 per cell]  6 Tb 3.52-3.53, 4 Pm 3.54-3.55, 2 In 3.56
Pm: 0.2495 0.7484 0.2501 [4 per cell]  6 Tb 3.46-3.58, 2 In 3.54-3.55, 4 Pm 3.54-3.56
In: 0.0000 0.5002 0.5000 [2 per cell]  8 Pm 3.52-3.56, 4 Tb 3.52-3.53

[17]
Mg5InHg after structural relaxation. Source: the Alexandria database, functional PBE.

## Properties
DFT formation energy ... -0.1 eV per formula unit
Mass density ... 4.333 g/cm3
Polymorph energy (0 for the lowest one) ... 67.2 meV/atom
Fermi-level density of states ... 0.417 states/eV/atom

a b c (Å): 10.2763 10.2581 7.0890
angles (deg): 90.00 116.32 90.00
Last column: nearest neighbours and their distance in Å.
Space group C2/c (No. 15)
Symmetry-distinct sites (fractional):
Mg: 0.0000 0.0966 0.2500 [4 per cell]  1 In 2.81, 2 Hg 2.86, 4 Mg 3.09-3.13
Mg: 0.0437 0.3618 0.0788 [8 per cell]  1 In 2.88, 5 Mg 2.94-3.09, 2 Hg 3.02-3.04
Mg: 0.2378 0.4194 0.8616 [8 per cell]  2 In 3.04-3.33, 5 Mg 3.07-3.40, 1 Hg 3.14
In: 0.0000 0.1770 0.7500 [4 per cell]  5 Mg 2.81-3.04
Hg: 0.2500 0.2500 0.5000 [4 per cell]  8 Mg 2.86-3.14

[18]
Pb5S2Cl5 after structural relaxation. Source: the Alexandria database, functional PBE.

## Properties
Mass density ... 5.807 g/cm3
Raw formation energy ... -0.8065 eV per atom
Fermi-level density of states ... 0.250 states/eV/atom

a b c (Å): 13.3564 4.5216 12.5712
angles (deg): 90.00 105.77 90.00
Last column: nearest neighbours and their distance in Å.
Space group C2/m (No. 12)
Symmetry-distinct sites (fractional):
Pb: 0.0000 0.0000 0.0000 [2 per cell]  2 S 2.95, 4 Cl 3.00
Pb: 0.1046 0.0000 0.4091 [4 per cell]  1 S 2.73, 4 Cl 2.94-3.04
Pb: 0.1795 0.5000 0.8097 [4 per cell]  2 S 2.82, 1 Cl 2.94
S: 0.0494 0.0000 0.7848 [4 per cell]  4 Pb 2.73-2.95
Cl: 0.0000 0.5000 0.5000 [2 per cell]  4 Pb 3.04
Cl: 0.1530 0.5000 0.0344 [4 per cell]  3 Pb 2.94-3.00
Cl: 0.2183 0.5000 0.3480 [4 per cell]  2 Pb 2.94

Number 1: E_tot -3.590 eV per atom. Number 2: E_tot -5.995 eV per atom. Number 3: E_tot -2.510 eV per atom. Number 4: E_tot -5.934 eV per atom. Number 5: E_tot -3.533 eV per atom. Number 6: E_tot -4.669 eV per atom. Number 7: E_tot -3.045 eV per atom. Number 8: E_tot -7.799 eV per atom. Number 9: E_tot -4.994 eV per atom. Number 10: E_tot -3.563 eV per atom. Number 11: E_tot -2.525 eV per atom. Number 12: E_tot -9.881 eV per atom. Number 13: E_tot -4.722 eV per atom. Number 14: E_tot -1.116 eV per atom. Number 15: E_tot -2.769 eV per atom. Number 16: E_tot -4.533 eV per atom. Number 17: E_tot -1.583 eV per atom. Number 18: E_tot -3.809 eV per atom.